(1)
Here is a geometry-optimized SnC2I2 structure from Alexandria. Energies are from GGA-PBE.

The electronic total energy comes out at -3.02 eV/atom. The calculation puts the energy above the most stable polymorph in this dataset at 0 meV per atom. As for the magnetization: 0.00 μB per formula unit.

The structure belongs to space group P4/mbm (No. 127); the cell edges are 8.492, 8.492 and 3.339 Å and the angles 90.00°, 90.00° and 90.00°. The asymmetric unit holds Sn at (0.000, 0.000, 0.000), C at (0.221, 0.279, 0.500) and I at (0.156, 0.656, 0.000).

(2)
Here is a geometry-optimized Na2GaC2O6 structure from Alexandria. Energies are from GGA-PBE.

The electronic total energy comes out at -6.33 eV/atom. As for the magnetization: 0.00 μB per formula unit.

The structure belongs to space group P-3 (No. 147); the cell edges are 5.1292, 5.1292 and 6.1942 Å and the angles 90.00°, 90.00° and 120.00°. The asymmetric unit holds Na at (0.3333, 0.6667, 0.3228), Ga at (0.0000, 0.0000, 0.0000), C at (0.3333, 0.6667, 0.7823) and O at (0.1210, 0.3842, 0.7780).

(3)
Here is a geometry-optimized CsLaSe2O structure from Alexandria. Energies are from GGA-PBE.

The electronic total energy comes out at -3.93 eV/atom. As for the magnetization: 0.35 μB per formula unit.

The structure belongs to space group P4/mmm (No. 123); the cell edges are 5.442, 5.442 and 4.483 Å and the angles 90.00°, 90.00° and 90.00°. The asymmetric unit holds Cs at (0.000, 0.000, 0.000), La at (0.500, 0.500, 0.000), Se at (0.000, 0.500, 0.500) and O at (0.000, 0.000, 0.500).

(4)
Here is a geometry-optimized RbHgGeIr2 structure from Alexandria. Energies are from GGA-PBE.

As for the formation energy: 670.3 meV/atom. The electronic total energy comes out at -4.05 eV/atom. As for the magnetization: 0.68 μB per formula unit.

The structure belongs to space group P4/mmm (No. 123); the cell edges are 4.716, 4.716 and 5.697 Å and the angles 90.00°, 90.00° and 90.00°. The asymmetric unit holds Rb at (0.000, 0.000, 0.000), Hg at (0.500, 0.500, 0.000), Ge at (0.500, 0.500, 0.500) and Ir at (0.000, 0.500, 0.500).